# ZrScAl2 PBE-GGA optimized geometry
# Energy above the lowest structure with this stoichiometry ... 0.00 kcal/mol of atoms
# Calculated total energy ... -48.237 eV/cell
# ΔH_f (0 K) ... -438 meV/atom
data_ZrScAl2
_space_group_name_H-M_alt 'P m m a'
_space_group_IT_number 51
_space_group_name_Hall '-P 2a 2a'
_cell_length_a 6.3566
_cell_length_b 3.0321
_cell_length_c 8.0686
_cell_angle_alpha 90.00
_cell_angle_beta 90.00
_cell_angle_gamma 90.00
loop_
_atom_site_label
_atom_site_type_symbol
_atom_site_fract_x
_atom_site_fract_y
_atom_site_fract_z
Zr1 Zr 0.2500 0.0000 0.0215
Sc1 Sc 0.2500 0.0000 0.4799
Al1 Al 0.0344 0.5000 0.7505